A relaxed Na2NpBO6 crystal, computed with PBE-GGA.

```
Na2NpBO6
1.0
5.392 -2.590 0.000
5.392 2.590 0.000
-2.087 0.000 4.453
Na Np B O
2 1 1 6
Cartesian
2.028 0.000 1.328
6.670 0.000 3.125
5.392 0.000 0.000
-1.043 0.000 2.226
3.512 1.497 2.944
5.186 1.497 1.509
1.473 0.000 4.013
7.225 0.000 0.440
3.512 -1.497 2.944
5.186 -1.497 1.509
```

Raw total energy   -72.0 eV/cell
Space group   C2/m, No. 12
Formation energy (no corrections)   -1.997 eV/atom
Density of states at the Fermi level   2.9 states/eV per cell
Crystal system   monoclinic